No. 1
{
  "formula": "DyHoRu",
  "functional": "PBE",
  "state": "relaxed",
  "spacegroup": "I4mm",
  "crystal_system": "tetragonal",
  "lattice_angstrom": [[-1.696, 1.696, 6.480], [1.696, -1.696, 6.480], [1.696, 1.696, -6.480]],
  "species": ["Dy", "Ho", "Ru"],
  "fractional_positions": [[0.000, 0.000, 0.000], [0.746, 0.746, 0.000], [0.372, 0.372, 0.000]]
}

No. 2
{
  "formula": "DyHo5Ru6",
  "functional": "PBE",
  "state": "relaxed",
  "spacegroup": "Immm",
  "crystal_system": "orthorhombic",
  "lattice_angstrom": [[-2.397, 3.392, 7.159], [2.397, -3.392, 7.159], [2.397, 3.392, -7.159]],
  "species": ["Dy", "Ho", "Ho", "Ho", "Ho", "Ho", "Ru", "Ru", "Ru", "Ru", "Ru", "Ru"],
  "fractional_positions": [[0.000, 0.000, 0.000], [0.167, 0.667, 0.500], [0.333, 0.333, 0.000], [0.500, 0.000, 0.500], [0.667, 0.667, 0.000], [0.833, 0.333, 0.500], [0.083, 0.833, 0.250], [0.250, 0.500, 0.750], [0.417, 0.167, 0.250], [0.583, 0.833, 0.750], [0.750, 0.500, 0.250], [0.917, 0.167, 0.750]]
}

No. 3
{
  "formula": "DyHoRu2",
  "functional": "PBE",
  "state": "relaxed",
  "spacegroup": "P4/mmm",
  "crystal_system": "tetragonal",
  "lattice_angstrom": [[3.392, 0.000, 0.000], [0.000, 3.392, 0.000], [0.000, 0.000, 6.782]],
  "species": ["Dy", "Ho", "Ru", "Ru"],
  "fractional_positions": [[0.000, 0.000, 0.000], [0.000, 0.000, 0.500], [0.500, 0.500, 0.251], [0.500, 0.500, 0.749]]
}

No. 4
{
  "formula": "Dy3HoRu4",
  "functional": "PBE",
  "state": "relaxed",
  "spacegroup": "P4/mmm",
  "crystal_system": "tetragonal",
  "lattice_angstrom": [[4.795, 0.000, 0.000], [0.000, 4.795, 0.000], [0.000, 0.000, 6.806]],
  "species": ["Dy", "Dy", "Dy", "Ho", "Ru", "Ru", "Ru", "Ru"],
  "fractional_positions": [[0.000, 0.000, 0.000], [0.000, 0.000, 0.500], [0.500, 0.500, 0.000], [0.500, 0.500, 0.500], [0.000, 0.500, 0.250], [0.000, 0.500, 0.750], [0.500, 0.000, 0.250], [0.500, 0.000, 0.750]]
}

No. 5
{
  "formula": "DyHoRu",
  "functional": "PBE",
  "state": "relaxed",
  "spacegroup": "Fddd",
  "crystal_system": "orthorhombic",
  "lattice_angstrom": [[0.000, 4.768, 6.746], [4.761, 0.000, 6.746], [4.761, 4.768, 0.000]],
  "species": ["Dy", "Dy", "Dy", "Dy", "Ho", "Ho", "Ho", "Ho", "Ru", "Ru", "Ru", "Ru"],
  "fractional_positions": [[0.000, 0.000, 0.250], [0.000, 0.000, 0.750], [0.250, 0.250, 0.000], [0.750, 0.750, 0.000], [0.250, 0.250, 0.500], [0.500, 0.500, 0.250], [0.500, 0.500, 0.750], [0.750, 0.750, 0.500], [0.125, 0.625, 0.125], [0.375, 0.875, 0.375], [0.625, 0.125, 0.625], [0.875, 0.375, 0.875]]
}

No. 6
{
  "formula": "Dy2Ho3Ru3",
  "functional": "PBE",
  "state": "relaxed",
  "spacegroup": "Immm",
  "crystal_system": "orthorhombic",
  "lattice_angstrom": [[-1.726, 2.538, 10.299], [1.726, -2.538, 10.299], [1.726, 2.538, -10.299]],
  "species": ["Dy", "Dy", "Ho", "Ho", "Ho", "Ru", "Ru", "Ru"],
  "fractional_positions": [[0.218, 0.218, 0.000], [0.782, 0.782, 0.000], [0.000, 0.000, 0.000], [0.390, 0.890, 0.500], [0.610, 0.110, 0.500], [0.114, 0.614, 0.500], [0.500, 0.500, 0.000], [0.886, 0.386, 0.500]]
}

No. 7
{
  "formula": "Dy2Ho6Ru",
  "functional": "PBE",
  "state": "relaxed",
  "spacegroup": "P2/m",
  "crystal_system": "monoclinic",
  "lattice_angstrom": [[8.587, 0.000, 0.000], [0.000, 3.661, 0.000], [-0.537, 0.000, 8.640]],
  "species": ["Dy", "Dy", "Ho", "Ho", "Ho", "Ho", "Ho", "Ho", "Ru"],
  "fractional_positions": [[0.200, 0.000, 0.032], [0.800, 0.000, 0.968], [0.055, 0.500, 0.717], [0.268, 0.000, 0.448], [0.462, 0.500, 0.801], [0.538, 0.500, 0.199], [0.732, 0.000, 0.552], [0.945, 0.500, 0.283], [0.500, 0.500, 0.500]]
}

No. 8
{
  "formula": "DyHo3Ru8",
  "functional": "PBE",
  "state": "relaxed",
  "spacegroup": "R3m",
  "crystal_system": "trigonal",
  "lattice_angstrom": [[2.658, 1.535, 8.733], [-2.658, 1.535, 8.733], [0.000, -3.069, 8.733]],
  "species": ["Dy", "Ho", "Ho", "Ho", "Ru", "Ru", "Ru", "Ru", "Ru", "Ru", "Ru", "Ru"],
  "fractional_positions": [[0.000, 0.000, 0.000], [0.125, 0.125, 0.125], [0.500, 0.500, 0.500], [0.625, 0.625, 0.625], [0.063, 0.063, 0.562], [0.063, 0.562, 0.063], [0.063, 0.563, 0.563], [0.313, 0.313, 0.313], [0.562, 0.063, 0.063], [0.563, 0.063, 0.563], [0.563, 0.563, 0.063], [0.813, 0.813, 0.813]]
}

No. 9
{
  "formula": "Dy2Ho2Ru3",
  "functional": "PBE",
  "state": "relaxed",
  "spacegroup": "C2/m",
  "crystal_system": "monoclinic",
  "lattice_angstrom": [[4.220, -2.434, 0.000], [4.220, 2.434, 0.000], [-2.773, 0.000, 7.520]],
  "species": ["Dy", "Dy", "Ho", "Ho", "Ru", "Ru", "Ru"],
  "fractional_positions": [[0.123, 0.123, 0.370], [0.877, 0.877, 0.630], [0.374, 0.374, 0.122], [0.626, 0.626, 0.878], [0.248, 0.248, 0.746], [0.500, 0.500, 0.500], [0.752, 0.752, 0.254]]
}

No. 10
{
  "formula": "Dy3HoRu",
  "functional": "PBE",
  "state": "relaxed",
  "spacegroup": "Pmn2_1",
  "crystal_system": "orthorhombic",
  "lattice_angstrom": [[7.599, 0.000, 0.000], [0.000, 6.376, 0.000], [0.000, 0.000, 6.188]],
  "species": ["Dy", "Dy", "Dy", "Dy", "Dy", "Dy", "Ho", "Ho", "Ru", "Ru"],
  "fractional_positions": [[0.000, 0.157, 0.000], [0.250, 0.320, 0.504], [0.250, 0.680, 0.004], [0.500, 0.843, 0.500], [0.750, 0.320, 0.504], [0.750, 0.680, 0.004], [0.000, 0.843, 0.509], [0.500, 0.157, 0.009], [0.000, 0.501, 0.255], [0.500, 0.499, 0.755]]
}

No. 11
{
  "formula": "DyHoRu",
  "functional": "PBE",
  "state": "relaxed",
  "spacegroup": "F-43m",
  "crystal_system": "cubic",
  "lattice_angstrom": [[0.000, 3.370, 3.370], [3.370, 0.000, 3.370], [3.370, 3.370, 0.000]],
  "species": ["Dy", "Ho", "Ru"],
  "fractional_positions": [[0.000, 0.000, 0.000], [0.500, 0.500, 0.500], [0.250, 0.250, 0.250]]
}

No. 12
{
  "formula": "DyHoRu2",
  "functional": "PBE",
  "state": "relaxed",
  "spacegroup": "Fm-3m",
  "crystal_system": "cubic",
  "lattice_angstrom": [[0.000, 3.391, 3.391], [3.391, 0.000, 3.391], [3.391, 3.391, 0.000]],
  "species": ["Dy", "Ho", "Ru", "Ru"],
  "fractional_positions": [[0.000, 0.000, 0.000], [0.500, 0.500, 0.500], [0.250, 0.250, 0.250], [0.750, 0.750, 0.750]]
}

No. 13
{
  "formula": "Dy3HoRu",
  "functional": "PBE",
  "state": "relaxed",
  "spacegroup": "Cm",
  "crystal_system": "monoclinic",
  "lattice_angstrom": [[5.971, -1.949, 0.000], [5.971, 1.949, 0.000], [-5.062, 0.000, 11.817]],
  "species": ["Dy", "Dy", "Dy", "Dy", "Dy", "Dy", "Ho", "Ho", "Ru", "Ru"],
  "fractional_positions": [[0.000, 0.000, 0.000], [0.028, 0.028, 0.378], [0.337, 0.337, 0.763], [0.368, 0.368, 0.140], [0.693, 0.693, 0.236], [0.803, 0.803, 0.518], [0.560, 0.560, 0.623], [0.674, 0.674, 0.905], [0.002, 0.002, 0.759], [0.364, 0.364, 0.386]]
}

No. 14
{
  "formula": "Dy3Ho2Ru4",
  "functional": "PBE",
  "state": "relaxed",
  "spacegroup": "P-3m1",
  "crystal_system": "trigonal",
  "lattice_angstrom": [[4.856, 0.000, 0.000], [-2.428, 4.205, 0.000], [0.000, 0.000, 9.205]],
  "species": ["Dy", "Dy", "Dy", "Ho", "Ho", "Ru", "Ru", "Ru", "Ru"],
  "fractional_positions": [[0.000, 0.000, 0.000], [0.333, 0.667, 0.409], [0.667, 0.333, 0.591], [0.333, 0.667, 0.795], [0.667, 0.333, 0.205], [0.000, 0.000, 0.357], [0.000, 0.000, 0.643], [0.333, 0.667, 0.106], [0.667, 0.333, 0.894]]
}

No. 15
{
  "formula": "Dy3HoRu",
  "functional": "PBE",
  "state": "relaxed",
  "spacegroup": "Pm-3m",
  "crystal_system": "cubic",
  "lattice_angstrom": [[5.380, 0.000, 0.000], [0.000, 5.380, 0.000], [0.000, 0.000, 5.380]],
  "species": ["Dy", "Dy", "Dy", "Ho", "Ru"],
  "fractional_positions": [[0.000, 0.000, 0.500], [0.000, 0.500, 0.000], [0.500, 0.000, 0.000], [0.500, 0.500, 0.500], [0.000, 0.000, 0.000]]
}

No. 16
{
  "formula": "Dy3Ho4Ru4",
  "functional": "PBE",
  "state": "relaxed",
  "spacegroup": "Immm",
  "crystal_system": "orthorhombic",
  "lattice_angstrom": [[-1.763, 4.432, 8.103], [1.763, -4.432, 8.103], [1.763, 4.432, -8.103]],
  "species": ["Dy", "Dy", "Dy", "Ho", "Ho", "Ho", "Ho", "Ru", "Ru", "Ru", "Ru"],
  "fractional_positions": [[0.000, 0.000, 0.000], [0.402, 0.902, 0.500], [0.598, 0.098, 0.500], [0.026, 0.335, 0.691], [0.356, 0.665, 0.691], [0.644, 0.335, 0.309], [0.974, 0.665, 0.309], [0.258, 0.258, 0.000], [0.275, 0.500, 0.775], [0.725, 0.500, 0.225], [0.742, 0.742, 0.000]]
}

No. 17
{
  "formula": "Dy6Ho2Ru",
  "functional": "PBE",
  "state": "relaxed",
  "spacegroup": "P2/m",
  "crystal_system": "monoclinic",
  "lattice_angstrom": [[8.610, 0.000, 0.000], [0.000, 3.669, 0.000], [-0.514, 0.000, 8.668]],
  "species": ["Dy", "Dy", "Dy", "Dy", "Dy", "Dy", "Ho", "Ho", "Ru"],
  "fractional_positions": [[0.037, 0.000, 0.199], [0.232, 0.500, 0.553], [0.444, 0.000, 0.281], [0.556, 0.000, 0.719], [0.768, 0.500, 0.447], [0.963, 0.000, 0.801], [0.300, 0.500, 0.967], [0.700, 0.500, 0.033], [0.000, 0.000, 0.500]]
}

No. 18
{
  "formula": "DyHoRu",
  "functional": "PBE",
  "state": "relaxed",
  "spacegroup": "C2/m",
  "crystal_system": "monoclinic",
  "lattice_angstrom": [[7.064, -1.740, 0.000], [7.064, 1.740, 0.000], [-2.519, 0.000, 6.274]],
  "species": ["Dy", "Dy", "Ho", "Ho", "Ru", "Ru"],
  "fractional_positions": [[0.021, 0.021, 0.257], [0.979, 0.979, 0.743], [0.281, 0.281, 0.242], [0.719, 0.719, 0.758], [0.383, 0.383, 0.952], [0.617, 0.617, 0.048]]
}

No. 19
{
  "formula": "Dy2HoRu",
  "functional": "PBE",
  "state": "relaxed",
  "spacegroup": "Cmcm",
  "crystal_system": "orthorhombic",
  "lattice_angstrom": [[1.960, -5.919, 0.000], [1.960, 5.919, 0.000], [0.000, 0.000, 9.080]],
  "species": ["Dy", "Dy", "Dy", "Dy", "Ho", "Ho", "Ru", "Ru"],
  "fractional_positions": [[0.143, 0.857, 0.567], [0.143, 0.857, 0.933], [0.857, 0.143, 0.067], [0.857, 0.143, 0.433], [0.424, 0.576, 0.750], [0.576, 0.424, 0.250], [0.243, 0.757, 0.250], [0.757, 0.243, 0.750]]
}

No. 20
{
  "formula": "Dy4HoRu5",
  "functional": "PBE",
  "state": "relaxed",
  "spacegroup": "P4/mmm",
  "crystal_system": "tetragonal",
  "lattice_angstrom": [[3.398, 0.000, 0.000], [0.000, 3.398, 0.000], [0.000, 0.000, 16.948]],
  "species": ["Dy", "Dy", "Dy", "Dy", "Ho", "Ru", "Ru", "Ru", "Ru", "Ru"],
  "fractional_positions": [[0.000, 0.000, 0.100], [0.000, 0.000, 0.300], [0.000, 0.000, 0.700], [0.000, 0.000, 0.900], [0.000, 0.000, 0.500], [0.500, 0.500, 0.000], [0.500, 0.500, 0.200], [0.500, 0.500, 0.401], [0.500, 0.500, 0.599], [0.500, 0.500, 0.800]]
}

No. 21
{
  "formula": "Dy2HoRu2",
  "functional": "PBE",
  "state": "relaxed",
  "spacegroup": "Cmc2_1",
  "crystal_system": "orthorhombic",
  "lattice_angstrom": [[2.120, -5.587, 0.000], [2.120, 5.587, 0.000], [0.000, 0.000, 9.820]],
  "species": ["Dy", "Dy", "Dy", "Dy", "Ho", "Ho", "Ru", "Ru", "Ru", "Ru"],
  "fractional_positions": [[0.094, 0.906, 0.500], [0.353, 0.647, 0.687], [0.647, 0.353, 0.187], [0.906, 0.094, 0.000], [0.354, 0.646, 0.314], [0.646, 0.354, 0.814], [0.000, 0.000, 0.250], [0.000, 0.000, 0.750], [0.192, 0.808, 0.999], [0.808, 0.192, 0.499]]
}

No. 22
{
  "formula": "Dy2HoRu",
  "functional": "PBE",
  "state": "relaxed",
  "spacegroup": "P4/mmm",
  "crystal_system": "tetragonal",
  "lattice_angstrom": [[3.427, 0.000, 0.000], [0.000, 3.427, 0.000], [0.000, 0.000, 8.873]],
  "species": ["Dy", "Dy", "Ho", "Ru"],
  "fractional_positions": [[0.000, 0.000, 0.186], [0.000, 0.000, 0.814], [0.500, 0.500, 0.500], [0.500, 0.500, 0.000]]
}

No. 23
{
  "formula": "Dy2Ho3Ru2",
  "functional": "PBE",
  "state": "relaxed",
  "spacegroup": "C2/m",
  "crystal_system": "monoclinic",
  "lattice_angstrom": [[5.929, -1.935, 0.000], [5.929, 1.935, 0.000], [-3.425, 0.000, 7.762]],
  "species": ["Dy", "Dy", "Ho", "Ho", "Ho", "Ru", "Ru"],
  "fractional_positions": [[0.165, 0.165, 0.310], [0.835, 0.835, 0.690], [0.378, 0.378, 0.072], [0.500, 0.500, 0.500], [0.622, 0.622, 0.928], [0.179, 0.179, 0.723], [0.821, 0.821, 0.277]]
}

No. 24
{
  "formula": "Dy2HoRu",
  "functional": "PBE",
  "state": "relaxed",
  "spacegroup": "R-3m",
  "crystal_system": "trigonal",
  "lattice_angstrom": [[1.744, 1.007, 10.639], [-1.744, 1.007, 10.639], [0.000, -2.014, 10.639]],
  "species": ["Dy", "Dy", "Ho", "Ru"],
  "fractional_positions": [[0.107, 0.107, 0.107], [0.893, 0.893, 0.893], [0.000, 0.000, 0.000], [0.500, 0.500, 0.500]]
}

The calculation returns the following calculated total energy values, one per record and in order: -6.504, -7.275, -7.273, -7.263, -6.450, -6.653, -5.171, -8.023, -6.887, -5.669, -6.449, -7.271, -5.754, -7.014, -5.575, -6.619, -5.177, -6.422, -6.075, -7.264, -6.749, -5.960, -6.272, -5.651 eV/atom.